Record 1
Below is a geometry-optimized LaPt4Au2 structure, with properties calculated at the PBE level.

The structure in POSCAR format:
```
LaPt4Au2
1.0
-5.206 2.489 2.743
5.342 -2.346 2.605
2.347 5.201 -2.876
La Pt Au
1 4 2
direct
0.000 0.000 0.000
0.718 0.500 0.218
0.500 0.718 0.218
0.500 0.282 0.782
0.282 0.500 0.782
0.250 0.750 0.500
0.750 0.250 0.500
```

Output
For the volume, the calculation gives 25.74 A^3/atom.

---

Record 2
Below is a geometry-optimized La6PtAu3 structure, with properties calculated at the PBE level.

The structure in POSCAR format:
```
La6PtAu3
1.0
4.074 0.000 0.000
0.000 10.628 -4.222
0.000 0.264 13.991
La Pt Au
12 2 6
direct
0.750 0.478 0.627
0.250 0.522 0.373
0.750 0.861 0.109
0.250 0.139 0.891
0.750 0.426 0.104
0.250 0.574 0.896
0.750 0.754 0.319
0.250 0.246 0.681
0.750 0.099 0.428
0.250 0.901 0.572
0.750 0.819 0.783
0.250 0.181 0.217
0.750 0.056 0.719
0.250 0.944 0.281
0.750 0.357 0.861
0.250 0.643 0.139
0.750 0.682 0.535
0.250 0.318 0.465
0.750 0.109 0.047
0.250 0.891 0.953
```

Output
For the volume, the calculation gives 30.52 A^3/atom.

---

Record 3
Below is a geometry-optimized LaPt2Au2 structure, with properties calculated at the PBE level.

The structure in POSCAR format:
```
LaPt2Au2
1.0
7.676 0.000 0.000
0.000 7.676 0.000
0.000 0.000 3.415
Au Pt La
4 4 2
direct
0.373 0.873 0.000
0.873 0.627 0.000
0.627 0.127 0.000
0.127 0.373 0.000
0.171 0.671 0.500
0.671 0.829 0.500
0.829 0.329 0.500
0.329 0.171 0.500
0.000 0.000 0.000
0.500 0.500 0.000
```

Output
For the volume, the calculation gives 20.12 A^3/atom.

---

Record 4
Below is a geometry-optimized La3Pt2Au9 structure, with properties calculated at the PBE level.

The structure in POSCAR format:
```
La3Pt2Au9
1.0
4.478 0.000 1.249
1.601 7.902 2.911
0.023 -0.327 8.566
La Pt Au
3 2 9
direct
0.000 0.000 0.000
0.694 0.306 0.306
0.306 0.694 0.694
0.500 0.333 0.667
0.500 0.667 0.333
0.000 0.500 0.500
0.662 0.974 0.703
0.338 0.026 0.297
0.662 0.703 0.974
0.338 0.297 0.026
0.877 0.848 0.398
0.123 0.152 0.602
0.877 0.398 0.848
0.123 0.602 0.152
```

Output
For the volume, the calculation gives 21.89 A^3/atom.

---

Record 5
Below is a geometry-optimized La2Pt9Au structure, with properties calculated at the PBE level.

The structure in POSCAR format:
```
La2Pt9Au
1.0
5.463 0.000 0.000
2.732 4.731 0.000
2.732 1.577 8.898
La Pt Au
2 9 1
direct
0.867 0.867 0.400
0.133 0.133 0.600
0.668 0.668 0.997
0.332 0.332 0.003
0.500 0.500 0.500
0.414 0.414 0.251
0.920 0.414 0.251
0.414 0.920 0.251
0.586 0.586 0.749
0.586 0.080 0.749
0.080 0.586 0.749
0.000 0.000 0.000
```

Output
For the volume, the calculation gives 19.17 A^3/atom.

---

Record 6
Below is a geometry-optimized LaPt4Au2 structure, with properties calculated at the PBE level.

The structure in POSCAR format:
```
LaPt4Au2
1.0
4.821 0.008 2.587
2.245 4.915 1.614
0.099 -0.345 5.628
Au Pt La
2 4 1
direct
0.751 0.499 0.499
0.249 0.501 0.501
0.695 0.609 0.000
0.305 0.391 0.000
0.695 0.000 0.608
0.305 0.000 0.392
0.000 0.000 0.000
```

Output
For the volume, the calculation gives 18.96 A^3/atom.

---

Record 7
Below is a geometry-optimized La4Pt2Au5 structure, with properties calculated at the PBE level.

The structure in POSCAR format:
```
La4Pt2Au5
1.0
-1.401 -3.497 1.180
6.666 -1.547 3.335
-3.251 3.871 7.611
La Pt Au
4 2 5
direct
0.500 0.760 0.599
0.500 0.216 0.856
0.500 0.240 0.401
0.500 0.784 0.144
0.000 0.069 0.642
0.000 0.931 0.358
0.000 0.558 0.347
0.000 0.153 0.121
0.000 0.500 0.000
0.000 0.847 0.879
0.000 0.442 0.653
```

Output
For the volume, the calculation gives 24.95 A^3/atom.

---

Record 8
Below is a geometry-optimized La2Pt2Au structure, with properties calculated at the PBE level.

The structure in POSCAR format:
```
La2Pt2Au
1.0
-4.937 2.166 1.673
-1.534 -5.048 2.009
-1.596 -0.499 5.460
Au Pt La
1 2 2
direct
0.000 0.000 0.000
0.340 0.340 0.320
0.660 0.660 0.680
0.750 0.250 0.500
0.250 0.750 0.500
```

Output
For the volume, the calculation gives 26.02 A^3/atom.

---

| no. | density of states at the Fermi level (states/eV per atom) | calculated total energy (eV per formula unit) |
| --- | --- | --- |
| 1 | 1.117 | -35.32 |
| 2 | 1.211 | -52.09 |
| 3 | 0.379 | -25.86 |
| 4 | 0.372 | -65.12 |
| 5 | 0.684 | -74.55 |
| 6 | 0.865 | -38.85 |
| 7 | 0.652 | -58.15 |
| 8 | 0.409 | -30.07 |